[1]
This record from the Alexandria database describes a geometry-optimized Ca2HgPbF8 structure. The functional is PBE. Values from VASP.

Structure (Quantum ESPRESSO input):
```
&SYSTEM
  ibrav = 0, nat = 12, ntyp = 4
/
ATOMIC_SPECIES
Pb 207.20 Pb.upf
F 19.00 F.upf
Ca 40.08 Ca.upf
Hg 200.59 Hg.upf
CELL_PARAMETERS angstrom
4.018 -0.012 -0.002
0.017 5.709 -0.006
0.005 0.009 7.958
ATOMIC_POSITIONS crystal
Pb 0.000 0.000 0.500
F 0.500 0.744 0.000
F 0.000 0.263 0.759
F 0.500 0.270 0.500
F 0.500 0.256 0.000
F 0.000 0.737 0.241
F 0.000 0.263 0.241
F 0.500 0.730 0.500
F 0.000 0.737 0.759
Ca 0.500 0.500 0.756
Ca 0.500 0.500 0.244
Hg 0.000 0.000 0.000
```

## Properties
- E_tot: -58.0 eV/cell
- ΔE_f (raw): -2.919 eV per atom
- Total magnetic moment: 0.0 μB/cell


[2]
This record from the Alexandria database describes a geometry-optimized CaHgPdF6 structure. The functional is PBE. Values from VASP.

Structure (Quantum ESPRESSO input):
```
&SYSTEM
  ibrav = 0, nat = 18, ntyp = 4
/
ATOMIC_SPECIES
F 19.00 F.upf
Ca 40.08 Ca.upf
Pd 106.42 Pd.upf
Hg 200.59 Hg.upf
CELL_PARAMETERS angstrom
5.210 0.000 0.000
0.000 5.210 0.000
0.000 0.000 10.770
ATOMIC_POSITIONS crystal
F 0.186 0.814 0.496
F 0.686 0.686 0.996
F 0.191 0.809 0.175
F 0.309 0.309 0.675
F 0.298 0.298 0.329
F 0.814 0.186 0.496
F 0.702 0.702 0.329
F 0.691 0.691 0.675
F 0.202 0.798 0.829
F 0.798 0.202 0.829
F 0.809 0.191 0.175
F 0.314 0.314 0.996
Ca 0.500 0.500 0.167
Ca 0.000 0.000 0.667
Pd 0.500 0.500 0.833
Pd 0.000 0.000 0.333
Hg 0.000 0.000 0.999
Hg 0.500 0.500 0.499
```

## Properties
- E_tot: -75.8 eV/cell
- ΔE_f (raw): -2.131 eV per atom
- Total magnetic moment: 4.0 μB/cell


[3]
This record from the Alexandria database describes a geometry-optimized Rb3Ca2HgF9 structure. The functional is PBE. Values from VASP.

Structure (Quantum ESPRESSO input):
```
&SYSTEM
  ibrav = 0, nat = 15, ntyp = 4
/
ATOMIC_SPECIES
Ca 40.08 Ca.upf
F 19.00 F.upf
Rb 85.47 Rb.upf
Hg 200.59 Hg.upf
CELL_PARAMETERS angstrom
6.430 0.000 0.000
-3.215 5.569 0.000
0.000 0.000 7.888
ATOMIC_POSITIONS crystal
Ca 0.333 0.667 0.160
Ca 0.667 0.333 0.840
F 0.500 0.500 0.000
F 0.660 0.830 0.329
F 0.830 0.660 0.671
F 0.500 0.000 0.000
F 0.170 0.830 0.329
F 0.000 0.500 0.000
F 0.340 0.170 0.671
F 0.170 0.340 0.329
F 0.830 0.170 0.671
Rb 0.667 0.333 0.342
Rb 0.000 0.000 0.000
Rb 0.333 0.667 0.658
Hg 0.000 0.000 0.500
```

## Properties
- E_tot: -68.6 eV/cell
- ΔE_f (raw): -2.971 eV per atom
- Total magnetic moment: 0.0 μB/cell


[4]
This record from the Alexandria database describes a geometry-optimized Rb2CaHgF6 structure. The functional is PBE. Values from VASP.

Structure (Quantum ESPRESSO input):
```
&SYSTEM
  ibrav = 0, nat = 10, ntyp = 4
/
ATOMIC_SPECIES
Rb 85.47 Rb.upf
Ca 40.08 Ca.upf
F 19.00 F.upf
Hg 200.59 Hg.upf
CELL_PARAMETERS angstrom
-4.505 1.127 -4.489
3.447 -3.364 -4.303
-2.714 -4.936 -3.162
ATOMIC_POSITIONS crystal
Rb 0.250 0.750 0.500
Rb 0.750 0.250 0.500
Ca 0.500 0.500 0.000
F 0.745 0.745 0.000
F 0.745 0.745 0.509
F 0.255 0.255 0.491
F 0.255 0.745 0.000
F 0.745 0.255 0.000
F 0.255 0.255 0.000
Hg 0.000 0.000 0.000
```

## Properties
- E_tot: -42.7 eV/cell
- ΔE_f (raw): -2.722 eV per atom
- Total magnetic moment: 0.0 μB/cell


[5]
This record from the Alexandria database describes a geometry-optimized RbCaHg2F8 structure. The functional is PBE. Values from VASP.

Structure (Quantum ESPRESSO input):
```
&SYSTEM
  ibrav = 0, nat = 12, ntyp = 4
/
ATOMIC_SPECIES
F 19.00 F.upf
Hg 200.59 Hg.upf
Rb 85.47 Rb.upf
Ca 40.08 Ca.upf
CELL_PARAMETERS angstrom
-3.295 -4.573 -1.331
2.362 -0.164 -5.285
4.514 -1.106 5.224
ATOMIC_POSITIONS crystal
F 0.615 0.659 0.770
F 0.615 0.112 0.771
F 0.888 0.845 0.229
F 0.341 0.385 0.229
F 0.155 0.659 0.771
F 0.889 0.385 0.230
F 0.341 0.845 0.230
F 0.155 0.111 0.770
Hg 0.250 0.750 0.500
Hg 0.500 0.500 0.000
Rb 0.750 0.250 0.500
Ca 0.000 0.000 0.000
```

## Properties
- E_tot: -44.0 eV/cell
- ΔE_f (raw): -2.119 eV per atom
- Total magnetic moment: 1.1 μB/cell


[6]
This record from the Alexandria database describes a geometry-optimized RbCaHgF6 structure. The functional is PBE. Values from VASP.

Structure (Quantum ESPRESSO input):
```
&SYSTEM
  ibrav = 0, nat = 18, ntyp = 4
/
ATOMIC_SPECIES
F 19.00 F.upf
Ca 40.08 Ca.upf
Rb 85.47 Rb.upf
Hg 200.59 Hg.upf
CELL_PARAMETERS angstrom
-3.635 -0.669 7.069
0.220 -8.402 -0.682
6.793 4.457 -0.586
ATOMIC_POSITIONS crystal
F 0.583 0.925 0.757
F 0.417 0.668 0.243
F 0.826 0.075 0.243
F 0.166 0.916 0.332
F 0.826 0.668 0.243
F 0.431 0.681 0.863
F 0.417 0.075 0.243
F 0.174 0.332 0.757
F 0.174 0.925 0.757
F 0.569 0.319 0.137
F 0.834 0.084 0.668
F 0.583 0.332 0.757
Ca 0.500 0.000 0.500
Ca 0.000 0.000 0.500
Rb 0.918 0.668 0.836
Rb 0.082 0.332 0.164
Hg 0.500 0.000 0.000
Hg 0.500 0.500 0.000
```

## Properties
- E_tot: -72.1 eV/cell
- ΔE_f (raw): -2.396 eV per atom
- Total magnetic moment: 2.0 μB/cell


[7]
This record from the Alexandria database describes a geometry-optimized SrCaHgF6 structure. The functional is PBE. Values from VASP.

Structure (Quantum ESPRESSO input):
```
&SYSTEM
  ibrav = 0, nat = 18, ntyp = 4
/
ATOMIC_SPECIES
Sr 87.62 Sr.upf
F 19.00 F.upf
Hg 200.59 Hg.upf
Ca 40.08 Ca.upf
CELL_PARAMETERS angstrom
6.034 0.000 0.000
-3.017 5.226 0.000
0.000 0.000 10.209
ATOMIC_POSITIONS crystal
Sr 0.000 0.000 0.500
Sr 0.000 0.000 0.000
F 0.991 0.656 0.366
F 0.335 0.344 0.866
F 0.344 0.009 0.134
F 0.344 0.335 0.366
F 0.009 0.344 0.634
F 0.665 0.009 0.366
F 0.991 0.335 0.134
F 0.665 0.656 0.134
F 0.335 0.991 0.634
F 0.656 0.991 0.866
F 0.009 0.665 0.866
F 0.656 0.665 0.634
Hg 0.667 0.333 0.750
Hg 0.333 0.667 0.250
Ca 0.667 0.333 0.250
Ca 0.333 0.667 0.750
```

## Properties
- E_tot: -85.4 eV/cell
- ΔE_f (raw): -3.053 eV per atom
- Total magnetic moment: 0.0 μB/cell


[8]
This record from the Alexandria database describes a geometry-optimized SrCaHg2F8 structure. The functional is PBE. Values from VASP.

Structure (Quantum ESPRESSO input):
```
&SYSTEM
  ibrav = 0, nat = 12, ntyp = 4
/
ATOMIC_SPECIES
Ca 40.08 Ca.upf
Hg 200.59 Hg.upf
F 19.00 F.upf
Sr 87.62 Sr.upf
CELL_PARAMETERS angstrom
-1.539 0.616 5.419
0.981 -5.508 0.905
5.657 3.633 -1.770
ATOMIC_POSITIONS crystal
Ca 0.000 0.000 0.000
Hg 0.500 0.500 0.000
Hg 0.250 0.750 0.500
F 0.128 0.121 0.757
F 0.879 0.872 0.243
F 0.879 0.371 0.243
F 0.128 0.636 0.757
F 0.629 0.636 0.757
F 0.364 0.872 0.243
F 0.364 0.371 0.243
F 0.629 0.121 0.757
Sr 0.750 0.250 0.500
```

## Properties
- E_tot: -51.4 eV/cell
- ΔE_f (raw): -2.682 eV per atom
- Total magnetic moment: 0.0 μB/cell


[9]
This record from the Alexandria database describes a geometry-optimized SrCa2HgF8 structure. The functional is PBE. Values from VASP.

Structure (Quantum ESPRESSO input):
```
&SYSTEM
  ibrav = 0, nat = 12, ntyp = 4
/
ATOMIC_SPECIES
F 19.00 F.upf
Sr 87.62 Sr.upf
Hg 200.59 Hg.upf
Ca 40.08 Ca.upf
CELL_PARAMETERS angstrom
-0.868 -3.860 -0.485
5.168 -0.895 -2.138
2.748 -1.534 7.285
ATOMIC_POSITIONS crystal
F 0.000 0.261 0.245
F 0.500 0.263 0.500
F 0.500 0.256 0.000
F 0.500 0.744 0.000
F 0.000 0.739 0.245
F 0.500 0.737 0.500
F 0.000 0.739 0.755
F 0.000 0.261 0.755
Sr 0.000 0.000 0.500
Hg 0.000 0.000 0.000
Ca 0.500 0.500 0.247
Ca 0.500 0.500 0.753
```

## Properties
- E_tot: -60.7 eV/cell
- ΔE_f (raw): -3.309 eV per atom
- Total magnetic moment: 0.0 μB/cell


[10]
This record from the Alexandria database describes a geometry-optimized CaTcHgF2 structure. The functional is PBE. Values from VASP.

Structure (Quantum ESPRESSO input):
```
&SYSTEM
  ibrav = 0, nat = 5, ntyp = 4
/
ATOMIC_SPECIES
Tc 98.00 Tc.upf
Hg 200.59 Hg.upf
F 19.00 F.upf
Ca 40.08 Ca.upf
CELL_PARAMETERS angstrom
-0.695 2.398 3.394
3.095 -4.866 4.072
3.722 1.889 -0.572
ATOMIC_POSITIONS crystal
Tc 0.500 0.500 0.500
Hg 0.000 0.500 0.000
F 0.500 0.000 0.000
F 0.000 0.000 0.500
Ca 0.000 0.000 0.000
```

## Properties
- E_tot: -22.5 eV/cell
- ΔE_f (raw): -1.215 eV per atom
- Total magnetic moment: 3.7 μB/cell


[11]
This record from the Alexandria database describes a geometry-optimized CaTl2HgF6 structure. The functional is PBE. Values from VASP.

Structure (Quantum ESPRESSO input):
```
&SYSTEM
  ibrav = 0, nat = 10, ntyp = 4
/
ATOMIC_SPECIES
F 19.00 F.upf
Ca 40.08 Ca.upf
Tl 204.38 Tl.upf
Hg 200.59 Hg.upf
CELL_PARAMETERS angstrom
-3.809 -3.398 3.872
-3.560 -1.689 -4.960
6.374 -1.116 -0.057
ATOMIC_POSITIONS crystal
F 0.676 0.785 0.968
F 0.798 0.738 0.491
F 0.322 0.212 0.025
F 0.203 0.250 0.510
F 0.769 0.278 0.949
F 0.222 0.715 0.040
Ca 0.501 0.502 0.001
Tl 0.762 0.257 0.502
Tl 0.245 0.764 0.510
Hg 0.000 0.002 0.001
```

## Properties
- E_tot: -41.4 eV/cell
- ΔE_f (raw): -2.316 eV per atom
- Total magnetic moment: 0.0 μB/cell


[12]
This record from the Alexandria database describes a geometry-optimized CaZn2HgF structure. The functional is PBE. Values from VASP.

Structure (Quantum ESPRESSO input):
```
&SYSTEM
  ibrav = 0, nat = 5, ntyp = 4
/
ATOMIC_SPECIES
Ca 40.08 Ca.upf
Zn 65.41 Zn.upf
F 19.00 F.upf
Hg 200.59 Hg.upf
CELL_PARAMETERS angstrom
-4.505 -0.964 -0.030
1.112 -5.219 0.738
-0.161 0.611 4.563
ATOMIC_POSITIONS crystal
Ca 0.500 0.500 0.500
Zn 0.500 0.000 0.000
Zn 0.000 0.000 0.500
F 0.000 0.000 0.000
Hg 0.000 0.500 0.000
```

## Properties
- E_tot: -9.1 eV/cell
- ΔE_f (raw): -0.475 eV per atom
- Total magnetic moment: 0.0 μB/cell


> Which of these has the highest total magnetic moment?

CaHgPdF6


What did the eighth record say?
This record from the Alexandria database describes a geometry-optimized SrCaHg2F8 structure. The functional is PBE. Values from VASP.

Structure (Quantum ESPRESSO input):
```
&SYSTEM
  ibrav = 0, nat = 12, ntyp = 4
/
ATOMIC_SPECIES
Ca 40.08 Ca.upf
Hg 200.59 Hg.upf
F 19.00 F.upf
Sr 87.62 Sr.upf
CELL_PARAMETERS angstrom
-1.539 0.616 5.419
0.981 -5.508 0.905
5.657 3.633 -1.770
ATOMIC_POSITIONS crystal
Ca 0.000 0.000 0.000
Hg 0.500 0.500 0.000
Hg 0.250 0.750 0.500
F 0.128 0.121 0.757
F 0.879 0.872 0.243
F 0.879 0.371 0.243
F 0.128 0.636 0.757
F 0.629 0.636 0.757
F 0.364 0.872 0.243
F 0.364 0.371 0.243
F 0.629 0.121 0.757
Sr 0.750 0.250 0.500
```

## Properties
- E_tot: -51.4 eV/cell
- ΔE_f (raw): -2.682 eV per atom
- Total magnetic moment: 0.0 μB/cell


Please write out number 8 again, unchanged.
This record from the Alexandria database describes a geometry-optimized SrCaHg2F8 structure. The functional is PBE. Values from VASP.

Structure (Quantum ESPRESSO input):
```
&SYSTEM
  ibrav = 0, nat = 12, ntyp = 4
/
ATOMIC_SPECIES
Ca 40.08 Ca.upf
Hg 200.59 Hg.upf
F 19.00 F.upf
Sr 87.62 Sr.upf
CELL_PARAMETERS angstrom
-1.539 0.616 5.419
0.981 -5.508 0.905
5.657 3.633 -1.770
ATOMIC_POSITIONS crystal
Ca 0.000 0.000 0.000
Hg 0.500 0.500 0.000
Hg 0.250 0.750 0.500
F 0.128 0.121 0.757
F 0.879 0.872 0.243
F 0.879 0.371 0.243
F 0.128 0.636 0.757
F 0.629 0.636 0.757
F 0.364 0.872 0.243
F 0.364 0.371 0.243
F 0.629 0.121 0.757
Sr 0.750 0.250 0.500
```

## Properties
- E_tot: -51.4 eV/cell
- ΔE_f (raw): -2.682 eV per atom
- Total magnetic moment: 0.0 μB/cell


> Among the records above, which one has the lowest E_tot?

SrCaHgF6